Here is TlCd2In after structural relaxation from Alexandria. Energies are from PBEsol.

It has space group R3m (No. 160, hexagonal axes), with a = 3.1993 Å, b = 3.1993 Å, c = 32.3967 Å, α = 90.00°, β = 90.00° and γ = 120.00°. The inequivalent atoms are Tl at (0.0000, 0.0000, 0.0000), Cd at (0.0000, 0.0000, 0.4947), Cd at (0.0000, 0.0000, 0.7526) and In at (0.0000, 0.0000, 0.2423).

For the polymorph energy (0 for the lowest one), the calculation gives 0.07 eV per formula unit. Its density of states at the Fermi level is 5.1 states/eV per cell.

---

Here is TlCd2In after structural relaxation from Alexandria. Energies are from PBEsol.

It has space group F-43m (No. 216), with a = 7.3115 Å, b = 7.3115 Å, c = 7.3115 Å, α = 90.00°, β = 90.00° and γ = 90.00°. The inequivalent atoms are Tl at (0.0000, 0.0000, 0.0000), Cd at (0.0000, 0.0000, 0.5000), Cd at (0.2500, 0.2500, 0.7500) and In at (0.2500, 0.2500, 0.2500).

For the polymorph energy (0 for the lowest one), the calculation gives 0.26 eV per formula unit. Its density of states at the Fermi level is 8.3 states/eV per cell.

---

Here is Tl2CdIn after structural relaxation from Alexandria. Energies are from PBEsol.

It has space group R-3m (No. 166, hexagonal axes), with a = 3.3004 Å, b = 3.3004 Å, c = 32.6578 Å, α = 90.00°, β = 90.00° and γ = 120.00°. The inequivalent atoms are Tl at (0.0000, 0.0000, 0.2474), Cd at (0.0000, 0.0000, 0.5000) and In at (0.0000, 0.0000, 0.0000).

For the polymorph energy (0 for the lowest one), the calculation gives 0.09 eV per formula unit. Its density of states at the Fermi level is 5.5 states/eV per cell.

---

Here is TlCd2In after structural relaxation from Alexandria. Energies are from PBEsol.

It has space group Fm-3m (No. 225), with a = 7.3181 Å, b = 7.3181 Å, c = 7.3181 Å, α = 90.00°, β = 90.00° and γ = 90.00°. The inequivalent atoms are Tl at (0.0000, 0.0000, 0.0000), Cd at (0.2500, 0.2500, 0.2500) and In at (0.0000, 0.0000, 0.5000).

For the polymorph energy (0 for the lowest one), the calculation gives 0.19 eV per formula unit. Its density of states at the Fermi level is 8.1 states/eV per cell.

---

Here is TlCdIn2 after structural relaxation from Alexandria. Energies are from PBEsol.

It has space group P4mm (No. 99), with a = 3.3410 Å, b = 3.3410 Å, c = 8.9386 Å, α = 90.00°, β = 90.00° and γ = 90.00°. The inequivalent atoms are Tl at (0.0000, 0.0000, 0.0000), Cd at (0.5000, 0.5000, 0.2466), In at (0.0000, 0.0000, 0.4770) and In at (0.5000, 0.5000, 0.7300).

Its density of states at the Fermi level is 1.6 states/eV per cell.

---

Here is TlCd2In after structural relaxation from Alexandria. Energies are from PBEsol.

It has space group P4/mmm (No. 123), with a = 3.2017 Å, b = 3.2017 Å, c = 9.4123 Å, α = 90.00°, β = 90.00° and γ = 90.00°. The inequivalent atoms are Tl at (0.0000, 0.0000, 0.0000), Cd at (0.5000, 0.5000, 0.2579) and In at (0.0000, 0.0000, 0.5000).

For the polymorph energy (0 for the lowest one), the calculation gives 0.11 eV per formula unit. Its density of states at the Fermi level is 1.8 states/eV per cell.

---

Here is Tl2CdIn after structural relaxation from Alexandria. Energies are from PBEsol.

It has space group Immm (No. 71), with a = 3.6871 Å, b = 5.3701 Å, c = 10.4901 Å, α = 90.00°, β = 90.00° and γ = 90.00°. The inequivalent atoms are Tl at (0.0000, 0.0000, 0.2436), Cd at (0.0000, 0.5000, 0.5000) and In at (0.0000, 0.5000, 0.0000).

For the polymorph energy (0 for the lowest one), the calculation gives 0.12 eV per formula unit. Its density of states at the Fermi level is 3.6 states/eV per cell.

---

Here is TlCd2In after structural relaxation from Alexandria. Energies are from PBEsol.

It has space group Pmm2 (No. 25), with a = 3.2017 Å, b = 4.6267 Å, c = 6.4503 Å, α = 90.00°, β = 90.00° and γ = 90.00°. The inequivalent atoms are Tl at (0.0000, 0.0000, 0.0000), Cd at (0.0000, 0.0000, 0.4902), Cd at (0.5000, 0.5000, 0.2569) and In at (0.5000, 0.5000, 0.7347).

For the polymorph energy (0 for the lowest one), the calculation gives 0.11 eV per formula unit. Its density of states at the Fermi level is 1.7 states/eV per cell.

---

Here is TlCdIn2 after structural relaxation from Alexandria. Energies are from PBEsol.

It has space group Imm2 (No. 44), with a = 3.4366 Å, b = 5.3946 Å, c = 10.9059 Å, α = 90.00°, β = 90.00° and γ = 90.00°. The inequivalent atoms are Tl at (0.0000, 0.0000, 0.0000), Cd at (0.0000, 0.5000, 0.7484), In at (0.0000, 0.0000, 0.4843) and In at (0.0000, 0.5000, 0.2367).

Its density of states at the Fermi level is 3.9 states/eV per cell.

---

Here is TlCd2In after structural relaxation from Alexandria. Energies are from PBEsol.

It has space group I4/mmm (No. 139), with a = 4.6043 Å, b = 4.6043 Å, c = 9.0585 Å, α = 90.00°, β = 90.00° and γ = 90.00°. The inequivalent atoms are Tl at (0.0000, 0.0000, 0.0000), Cd at (0.0000, 0.5000, 0.2500) and In at (0.0000, 0.0000, 0.5000).

For the polymorph energy (0 for the lowest one), the calculation gives 0.12 eV per formula unit. Its density of states at the Fermi level is 3.7 states/eV per cell.

---

Here is TlCdIn2 after structural relaxation from Alexandria. Energies are from PBEsol.

It has space group Pmmm (No. 47), with a = 3.6081 Å, b = 5.2876 Å, c = 5.2940 Å, α = 90.00°, β = 90.00° and γ = 90.00°. The inequivalent atoms are Tl at (0.0000, 0.0000, 0.0000), Cd at (0.5000, 0.5000, 0.0000), In at (0.0000, 0.5000, 0.5000) and In at (0.5000, 0.0000, 0.5000).

Its density of states at the Fermi level is 1.9 states/eV per cell.

---

Here is TlCd2In after structural relaxation from Alexandria. Energies are from PBEsol.

It has space group P2/m (No. 10), with a = 3.2219 Å, b = 4.6167 Å, c = 6.4787 Å, α = 90.00°, β = 92.53° and γ = 90.00°. The inequivalent atoms are Tl at (0.0000, 0.0000, 0.0000), Cd at (0.4975, 0.5000, 0.7431) and In at (0.0000, 0.0000, 0.5000).

For the polymorph energy (0 for the lowest one), the calculation gives 0.11 eV per formula unit. Its density of states at the Fermi level is 1.7 states/eV per cell.

---

Here is Tl2CdIn after structural relaxation from Alexandria. Energies are from PBEsol.

It has space group P4mm (No. 99), with a = 3.3863 Å, b = 3.3863 Å, c = 8.9477 Å, α = 90.00°, β = 90.00° and γ = 90.00°. The inequivalent atoms are Tl at (0.0000, 0.0000, 0.0000), Tl at (0.5000, 0.5000, 0.2798), Cd at (0.0000, 0.0000, 0.5178) and In at (0.5000, 0.5000, 0.7399).

For the polymorph energy (0 for the lowest one), the calculation gives 0.00 eV per formula unit. Its density of states at the Fermi level is 1.9 states/eV per cell.

---

Here is TlCdIn2 after structural relaxation from Alexandria. Energies are from PBEsol.

It has space group F-43m (No. 216), with a = 7.3936 Å, b = 7.3936 Å, c = 7.3936 Å, α = 90.00°, β = 90.00° and γ = 90.00°. The inequivalent atoms are Tl at (0.0000, 0.0000, 0.0000), Cd at (0.2500, 0.2500, 0.2500), In at (0.0000, 0.0000, 0.5000) and In at (0.2500, 0.2500, 0.7500).

Its density of states at the Fermi level is 5.5 states/eV per cell.

---

Here is TlCdIn2 after structural relaxation from Alexandria. Energies are from PBEsol.

It has space group Pmm2 (No. 25), with a = 3.2529 Å, b = 4.5121 Å, c = 6.7917 Å, α = 90.00°, β = 90.00° and γ = 90.00°. The inequivalent atoms are Tl at (0.0000, 0.0000, 0.0000), Cd at (0.5000, 0.5000, 0.2524), In at (0.0000, 0.0000, 0.4850) and In at (0.5000, 0.5000, 0.7357).

Its density of states at the Fermi level is 1.8 states/eV per cell.

---

Number 1: energy of formation 45.1 meV per atom. Number 2: energy of formation 93.3 meV per atom. Number 3: energy of formation 48.0 meV per atom. Number 4: energy of formation 77.3 meV per atom. Number 5: energy of formation 29.4 meV per atom. Number 6: energy of formation 56.7 meV per atom. Number 7: energy of formation 57.3 meV per atom. Number 8: energy of formation 56.1 meV per atom. Number 9: energy of formation 50.8 meV per atom. Number 10: energy of formation 59.2 meV per atom. Number 11: energy of formation 53.7 meV per atom. Number 12: energy of formation 57.0 meV per atom. Number 13: energy of formation 26.7 meV per atom. Number 14: energy of formation 53.0 meV per atom. Number 15: energy of formation 37.7 meV per atom.